1.
This record from Alexandria via LeMat-Bulk describes DyGe2Ru4 after structural relaxation. The functional is GGA-PBE.

Results
As for the raw total energy: -107.739 eV for the cell shown. The formation energy comes out at -0.42 eV/atom.

Cell lengths 4.022, 14.389, 3.985 Å; angles 90.00, 90.00, 90.00 degrees
Fractional positions:
Dy 0.000 0.000 0.000
Dy 0.500 0.500 0.000
Ge 0.000 0.414 0.500
Ge 0.000 0.586 0.500
Ge 0.500 0.086 0.500
Ge 0.500 0.914 0.500
Ru 0.000 0.190 0.500
Ru 0.000 0.309 0.000
Ru 0.000 0.691 0.000
Ru 0.000 0.810 0.500
Ru 0.500 0.191 0.000
Ru 0.500 0.310 0.500
Ru 0.500 0.690 0.500
Ru 0.500 0.809 0.000



2.
This record from Alexandria via LeMat-Bulk describes Dy5GeRu2 after structural relaxation. The functional is GGA-PBE.

Results
As for the raw total energy: -100.033 eV for the cell shown. The formation energy comes out at -0.48 eV/atom.

Cell lengths 8.513, 8.513, 8.513 Å; angles 126.78, 126.78, 78.61 degrees
Fractional positions:
Dy 0.000 0.000 0.000
Dy 0.022 0.522 0.823
Dy 0.199 0.022 0.500
Dy 0.301 0.801 0.823
Dy 0.478 0.301 0.500
Dy 0.500 0.500 0.000
Dy 0.522 0.699 0.500
Dy 0.699 0.199 0.177
Dy 0.801 0.978 0.500
Dy 0.978 0.478 0.177
Ge 0.250 0.250 0.000
Ge 0.750 0.750 0.000
Ru 0.138 0.362 0.500
Ru 0.362 0.862 0.224
Ru 0.638 0.138 0.776
Ru 0.862 0.638 0.500



3.
This record from Alexandria via LeMat-Bulk describes DySiGe2Ru2 after structural relaxation. The functional is GGA-PBE.

Results
As for the raw total energy: -39.229 eV for the cell shown.

Cell lengths 4.453, 4.453, 5.516 Å; angles 90.00, 90.00, 90.00 degrees
Fractional positions:
Dy 0.000 0.000 0.000
Si 0.000 0.000 0.500
Ge 0.500 0.500 0.224
Ge 0.500 0.500 0.776
Ru 0.000 0.500 0.500
Ru 0.500 0.000 0.500



no.,theoretical density (Mg/m³)
1,10.26
2,9.43
3,8.17